# Tm2Ga9Au

Crystalline Tm2Ga9Au at its relaxed geometry (PBE-GGA, Alexandria).

Cell: 4.2687 4.2687 12.3873 Å, 90.00 90.00 90.00°
Space group P4/mmm (No. 123)
One atom of each set of equivalent atoms:
Tm 0.0000 0.0000 0.1715 x2
Ga 0.0000 0.5000 0.0000 x2
Ga 0.0000 0.5000 0.3470 x4
Ga 0.5000 0.5000 0.1621 x2
Ga 0.5000 0.5000 0.5000 x1
Au 0.0000 0.0000 0.5000 x1

Results
N(E_F), states/eV/cell: 4.16
Formation energy from the elements, meV/atom: -330.9